# 1
The following is a GGA-PBE calculation of an optimized crystal structure of Ce2PrErTl4, from Alexandria.

a = 5.480 Å, b = 5.480 Å, c = 9.528 Å
α = 73.29°, β = 73.29°, γ = 60.00°
Fractional positions:
Tl: 0.873 0.873 0.380
Pr: 0.000 0.000 0.000
Tl: 0.127 0.127 0.620
Tl: 0.377 0.377 0.869
Ce: 0.249 0.249 0.253
Ce: 0.751 0.751 0.747
Tl: 0.623 0.623 0.131
Er: 0.500 0.500 0.500

Output
Its space-group type is R-3m, No. 166.

# 2
The following is a GGA-PBE calculation of an optimized crystal structure of CePr3Er6Tm2, from Alexandria.

a = 6.169 Å, b = 6.169 Å, c = 11.745 Å
α = 95.02°, β = 95.02°, γ = 119.99°
Fractional positions:
Er: 0.587 0.918 0.755
Er: 0.413 0.082 0.245
Er: 0.918 0.587 0.755
Er: 0.249 0.249 0.755
Pr: 0.832 0.168 0.500
Tm: 0.333 0.667 0.000
Ce: 0.000 0.000 0.000
Tm: 0.667 0.333 0.000
Pr: 0.500 0.500 0.500
Pr: 0.168 0.832 0.500
Er: 0.751 0.751 0.245
Er: 0.082 0.413 0.245

Output
Its space-group type is C2/m, No. 12.

# 3
The following is a GGA-PBE calculation of an optimized crystal structure of CePrEr2Tm, from Alexandria.

a = 7.328 Å, b = 7.588 Å, c = 5.805 Å
α = 90.01°, β = 90.00°, γ = 90.00°
Fractional positions:
Ce: 0.000 0.000 0.000
Pr: 0.163 0.500 0.750
Pr: 0.837 0.500 0.250
Er: 0.674 0.286 0.750
Ce: 0.000 0.000 0.500
Tm: 0.622 0.000 0.250
Tm: 0.378 0.000 0.750
Er: 0.326 0.714 0.250
Er: 0.326 0.286 0.250
Er: 0.674 0.714 0.750

Output
Its space-group type is Pmma, No. 51.

# 4
The following is a GGA-PBE calculation of an optimized crystal structure of CePrErTm, from Alexandria.

a = 5.670 Å, b = 5.670 Å, c = 5.670 Å
α = 60.00°, β = 60.00°, γ = 60.00°
Fractional positions:
Tm: 0.250 0.250 0.250
Ce: 0.500 0.500 0.500
Er: 0.750 0.750 0.750
Pr: 0.000 0.000 0.000

Output
Its space-group type is F-43m, No. 216.

# 5
The following is a GGA-PBE calculation of an optimized crystal structure of CePrErTm2, from Alexandria.

a = 7.312 Å, b = 7.677 Å, c = 5.779 Å
α = 90.00°, β = 90.00°, γ = 90.00°
Fractional positions:
Tm: 0.672 0.711 0.750
Er: 0.619 0.000 0.250
Tm: 0.328 0.711 0.250
Ce: 0.000 0.000 0.500
Tm: 0.672 0.289 0.750
Pr: 0.164 0.500 0.750
Er: 0.381 0.000 0.750
Pr: 0.836 0.500 0.250
Tm: 0.328 0.289 0.250
Ce: 0.000 0.000 0.000

Output
Its space-group type is Pmma, No. 51.

# 6
The following is a GGA-PBE calculation of an optimized crystal structure of CePr6YEr2, from Alexandria.

a = 8.909 Å, b = 7.163 Å, c = 6.669 Å
α = 122.48°, β = 100.50°, γ = 90.00°
Fractional positions:
Er: 0.840 0.907 0.815
Pr: 0.419 0.628 0.257
Ce: 0.000 0.500 0.000
Y: 0.500 0.000 0.000
Er: 0.160 0.093 0.185
Pr: 0.581 0.372 0.743
Pr: 0.797 0.402 0.342
Pr: 0.797 0.939 0.342
Pr: 0.203 0.061 0.658
Pr: 0.203 0.598 0.658

Output
Its space-group type is C2/m, No. 12.

# 7
The following is a GGA-PBE calculation of an optimized crystal structure of CePrYEr, from Alexandria.

a = 5.710 Å, b = 5.710 Å, c = 5.710 Å
α = 60.00°, β = 60.00°, γ = 60.00°
Fractional positions:
Ce: 0.250 0.250 0.250
Er: 0.500 0.500 0.500
Y: 0.000 0.000 0.000
Pr: 0.750 0.750 0.750

Output
Its space-group type is F-43m, No. 216.

# 8
The following is a GGA-PBE calculation of an optimized crystal structure of Ce2Pr3Y6Er, from Alexandria.

a = 6.234 Å, b = 6.234 Å, c = 11.852 Å
α = 95.02°, β = 95.02°, γ = 119.99°
Fractional positions:
Y: 0.918 0.583 0.755
Ce: 0.334 0.666 0.000
Pr: 0.834 0.166 0.500
Pr: 0.500 0.500 0.500
Y: 0.082 0.417 0.245
Y: 0.417 0.082 0.245
Y: 0.747 0.747 0.245
Y: 0.583 0.918 0.755
Ce: 0.666 0.334 0.000
Er: 0.000 0.000 0.000
Pr: 0.166 0.834 0.500
Y: 0.253 0.253 0.755

Output
Its space-group type is C2/m, No. 12.

# 9
The following is a GGA-PBE calculation of an optimized crystal structure of CePr2Y6Er3, from Alexandria.

a = 6.209 Å, b = 6.209 Å, c = 11.839 Å
α = 95.02°, β = 95.02°, γ = 119.99°
Fractional positions:
Er: 0.167 0.833 0.500
Pr: 0.333 0.667 0.000
Ce: 0.000 0.000 0.000
Pr: 0.667 0.333 0.000
Y: 0.753 0.753 0.254
Y: 0.084 0.415 0.253
Y: 0.247 0.247 0.746
Y: 0.415 0.084 0.253
Y: 0.916 0.585 0.747
Er: 0.833 0.167 0.500
Er: 0.500 0.500 0.500
Y: 0.585 0.916 0.747

Output
Its space-group type is C2/m, No. 12.

# 10
The following is a GGA-PBE calculation of an optimized crystal structure of CePrErZr, from Alexandria.

a = 5.486 Å, b = 5.486 Å, c = 5.486 Å
α = 60.00°, β = 60.00°, γ = 60.00°
Fractional positions:
Ce: 0.000 0.000 0.000
Er: 0.250 0.250 0.250
Zr: 0.750 0.750 0.750
Pr: 0.500 0.500 0.500

Output
Its space-group type is F-43m, No. 216.

# 11
The following is a GGA-PBE calculation of an optimized crystal structure of CeEr2Pt9, from Alexandria.

a = 4.125 Å, b = 4.125 Å, c = 12.365 Å
α = 90.00°, β = 90.00°, γ = 90.00°
Fractional positions:
Pt: 0.500 0.500 0.665
Er: 0.000 0.000 0.664
Pt: 0.500 0.000 0.500
Pt: 0.500 0.000 0.832
Pt: 0.500 0.000 0.168
Pt: 0.000 0.500 0.500
Pt: 0.000 0.500 0.832
Pt: 0.000 0.500 0.168
Ce: 0.000 0.000 0.000
Er: 0.000 0.000 0.336
Pt: 0.500 0.500 0.335
Pt: 0.500 0.500 0.000

Output
Its space-group type is P4/mmm, No. 123.

Calculated E_form in order - -0.277; 0.038; 0.293; 0.148; 0.289; 0.233; 0.158; 0.046; 0.044; 0.227; -1.057 eV/atom
Calculated DOS(E_F) in order - 19.0; 18.0; 22.6; 9.5; 20.1; 22.1; 10.1; 20.8; 21.4; 8.7; 6.3 states/eV/cell
Calculated E_tot in order - -4.1110; -4.6778; -4.5696; -4.7890; -4.5548; -4.7874; -5.2767; -5.7506; -5.6199; -5.7290; -6.8429 eV/atom